# 1
Material: Be17FeCu
Method: DFT, PBE
State: relaxed

It has space group R3m (No. 160, hexagonal axes), with a = 7.1251 Å, b = 7.1251 Å, c = 10.7864 Å, α = 90.00°, β = 90.00° and γ = 120.00°. The asymmetric unit holds Be at (0.0000, 0.0000, 0.0578), Be at (0.0000, 0.0000, 0.2581), Be at (0.0019, 0.3151, 0.1572), Be at (0.0047, 0.5023, 0.0000), Be at (0.0160, 0.5080, 0.3157), Be at (0.1697, 0.3393, 0.9940), Fe at (0.0000, 0.0000, 0.4744) and Cu at (0.0000, 0.0000, 0.7901).

Its density is 2.864 g cm⁻³. For the formation energy, the calculation gives -2.5 kJ per mole of atoms.

***

# 2
Material: KSCl
Method: DFT, PBE
State: relaxed

It has space group Immm (No. 71), with a = 4.373 Å, b = 4.480 Å, c = 21.421 Å, α = 90.00°, β = 90.00° and γ = 90.00°. The asymmetric unit holds K at (0.000, 0.000, 0.177), S at (0.000, 0.287, 0.000) and Cl at (0.000, 0.000, 0.326).

Its density is 1.687 g cm⁻³. For the energy relative to the elements, uncorrected, the calculation gives -1.074 eV/atom.

***

# 3
Material: CsTeWI2
Method: DFT, PBE
State: relaxed

It has space group P4/mmm (No. 123), with a = 6.017 Å, b = 6.017 Å, c = 5.277 Å, α = 90.00°, β = 90.00° and γ = 90.00°. The asymmetric unit holds Cs at (0.000, 0.000, 0.000), Te at (0.500, 0.500, 0.000), W at (0.500, 0.500, 0.500) and I at (0.000, 0.500, 0.500).

Its density is 6.070 g cm⁻³. For the energy relative to the elements, uncorrected, the calculation gives -0.094 eV/atom.

***

# 4
Material: BeSb2TePt
Method: DFT, PBE
State: relaxed

It has space group P4/mmm (No. 123), with a = 4.754 Å, b = 4.754 Å, c = 4.927 Å, α = 90.00°, β = 90.00° and γ = 90.00°. The asymmetric unit holds Be at (0.000, 0.000, 0.000), Sb at (0.000, 0.500, 0.000), Te at (0.000, 0.000, 0.500) and Pt at (0.500, 0.500, 0.500).

Its density is 8.576 g cm⁻³. For the energy relative to the elements, uncorrected, the calculation gives 0.612 eV/atom.

***

# 5
Material: Pu2InGa3
Method: DFT, PBE
State: relaxed

It has space group Fmmm (No. 69), with a = 6.639 Å, b = 9.513 Å, c = 16.498 Å, α = 90.00°, β = 90.00° and γ = 90.00°. The asymmetric unit holds Pu at (0.249, 0.000, 0.000), Pu at (0.250, 0.250, 0.250), In at (0.000, 0.000, 0.333), Ga at (0.000, 0.000, 0.162) and Ga at (0.000, 0.244, 0.081).

Its density is 10.353 g cm⁻³. For the formation energy, the calculation gives -27.6 kJ per mole of atoms.

***

# 6
Material: Ba2CuO3
Method: DFT, PBE
State: relaxed

It has space group Immm (No. 71), with a = 3.854 Å, b = 4.174 Å, c = 13.181 Å, α = 90.00°, β = 90.00° and γ = 90.00°. The asymmetric unit holds Ba at (0.000, 0.000, 0.145), Cu at (0.000, 0.000, 0.500), O at (0.000, 0.000, 0.353) and O at (0.000, 0.500, 0.500).

Its density is 6.049 g cm⁻³. For the energy relative to the elements, uncorrected, the calculation gives -1.934 eV/atom.